1.
# Ca2Ni3Rh PBE-GGA relaxed
# M_tot   0.00 μB per cell
# Formation enthalpy at 0 K   -0.28 eV per atom
# Density of states at the Fermi level   4.70 states/eV/f.u.
data_Ca2Ni3Rh
_chemical_formula_sum 'Ca4 Ni6 Rh2'
_cell_length_a 8.848
_cell_length_b 5.099
_cell_length_c 5.205
_cell_angle_alpha 90.00
_cell_angle_beta 124.39
_cell_angle_gamma 90.00
_symmetry_space_group_name_H-M 'C 1 2/m 1'
_symmetry_Int_Tables_number 12
loop_
_symmetry_equiv_pos_as_xyz
'x,y,z'
'-x,-y,-z'
'-x,y,-z'
'x,-y,z'
'x+1/2,y+1/2,z'
'-x+1/2,-y+1/2,-z'
'-x+1/2,y+1/2,-z'
'x+1/2,-y+1/2,z'
loop_
_atom_site_label
_atom_site_fract_x
_atom_site_fract_y
_atom_site_fract_z
Ca1 0.125 0.000 0.373
Ni1 0.000 0.500 0.000
Ni2 0.250 0.250 0.000
Rh1 0.000 0.500 0.500

***

2.
# CaGaC PBE-GGA relaxed
# M_tot   0.00 μB per cell
# Formation enthalpy at 0 K   0.32 eV per atom
# Density of states at the Fermi level   1.63 states/eV/f.u.
data_CaGaC
_chemical_formula_sum 'Ca4 Ga4 C4'
_cell_length_a 4.999
_cell_length_b 9.967
_cell_length_c 4.907
_cell_angle_alpha 90.00
_cell_angle_beta 90.00
_cell_angle_gamma 90.00
_symmetry_space_group_name_H-M 'C m c m'
_symmetry_Int_Tables_number 63
_symmetry_space_group_name_Hall '-C 2c 2'
loop_
_atom_site_label
_atom_site_fract_x
_atom_site_fract_y
_atom_site_fract_z
Ca1 0.000 0.214 0.250
Ga1 0.000 0.500 0.000
C1 0.000 0.342 0.750

***

3.
# KSe PBE-GGA relaxed
# M_tot   0.00 μB per cell
# Raw formation energy   -0.7825 eV per atom
data_KSe
_chemical_formula_sum 'K8 Se8'
_cell_length_a 11.448
_cell_length_b 11.448
_cell_length_c 5.142
_cell_angle_alpha 90.00
_cell_angle_beta 90.00
_cell_angle_gamma 90.00
_symmetry_space_group_name_H-M 'P 4/m n c'
_symmetry_Int_Tables_number 128
_symmetry_space_group_name_Hall '-P 4 2n'
loop_
_atom_site_label
_atom_site_fract_x
_atom_site_fract_y
_atom_site_fract_z
K1 0.013 0.255 0.000
Se1 0.209 0.763 0.500

***

4.
# ScCr2Mo PBE-GGA relaxed
# M_tot   0.00 μB per cell
# Formation enthalpy at 0 K   0.29 eV per atom
# Density of states at the Fermi level   4.54 states/eV/f.u.
data_ScCr2Mo
_chemical_formula_sum 'Sc1 Cr2 Mo1'
_cell_length_a 2.756
_cell_length_b 4.187
_cell_length_c 5.230
_cell_angle_alpha 90.00
_cell_angle_beta 100.72
_cell_angle_gamma 90.00
_symmetry_space_group_name_H-M 'P 1 m 1'
_symmetry_Int_Tables_number 6
loop_
_symmetry_equiv_pos_as_xyz
'x,y,z'
'x,-y,z'
loop_
_atom_site_label
_atom_site_fract_x
_atom_site_fract_y
_atom_site_fract_z
Sc1 0.000 0.000 0.000
Cr1 0.503 0.000 0.483
Cr2 0.726 0.500 0.258
Mo1 0.269 0.500 0.715

***

5.
# NaTl2Ni PBE-GGA relaxed
# M_tot   0.00 μB per cell
# Formation enthalpy at 0 K   0.33 eV per atom
# Density of states at the Fermi level   2.40 states/eV/f.u.
data_NaTl2Ni
_chemical_formula_sum 'Na4 Tl8 Ni4'
_cell_length_a 5.753
_cell_length_b 5.753
_cell_length_c 15.915
_cell_angle_alpha 90.00
_cell_angle_beta 90.00
_cell_angle_gamma 90.00
_symmetry_space_group_name_H-M 'I -4 2 d'
_symmetry_Int_Tables_number 122
_symmetry_space_group_name_Hall 'I -4 2bw'
loop_
_atom_site_label
_atom_site_fract_x
_atom_site_fract_y
_atom_site_fract_z
Na1 0.000 0.000 0.000
Tl1 0.112 0.250 0.625
Ni1 0.000 0.000 0.500

***

6.
# LaY6Mg PBE-GGA relaxed
# M_tot   0.00 μB per cell
# Formation enthalpy at 0 K   0.11 eV per atom
# Density of states at the Fermi level   13.37 states/eV/f.u.
data_LaY6Mg
_chemical_formula_sum 'La3 Y18 Mg3'
_cell_length_a 9.4665
_cell_length_b 9.4665
_cell_length_c 9.9827
_cell_angle_alpha 90.00
_cell_angle_beta 90.00
_cell_angle_gamma 120.00
_symmetry_space_group_name_H-M 'R -3'
_symmetry_Int_Tables_number 148
_symmetry_space_group_name_Hall '-R 3'
loop_
_atom_site_label
_atom_site_fract_x
_atom_site_fract_y
_atom_site_fract_z
La1 0.0000 0.0000 0.0000
Y1 0.0206 0.7568 0.7192
Mg1 0.0000 0.0000 0.5000